Material: InTeSI2
Method: DFT, meta-GGA SCAN
State: single point on PBEsol structure

abc: 5.7521 5.7521 5.6708
angles: 90.00 90.00 90.00
Sites, in units of the cell vectors:
In1 0.0000 0.0000 0.0000
Te1 0.0000 0.0000 0.5000
S1 0.5000 0.5000 0.5000
I1 0.0000 0.5000 0.0000
I2 0.5000 0.0000 0.0000

Summary:
Calculated volume   187.6 Å³/cell
N(E_F)   0.59 states/eV per atom
Space group   P4/mmm (123)
Total magnetization   3.3 μB/cell
Formation energy (no corrections)   2.6 eV/f.u.

Material: BeInSn2Au
Method: DFT, meta-GGA SCAN
State: single point on PBEsol structure

abc: 4.9638 4.9638 4.4952
angles: 90.00 90.00 90.00
Sites, in units of the cell vectors:
Be1 0.0000 0.0000 0.0000
In1 0.5000 0.5000 0.5000
Sn1 0.0000 0.5000 0.0000
Sn2 0.5000 0.0000 0.0000
Au1 0.0000 0.0000 0.5000

Summary:
Calculated volume   110.8 Å³/cell
N(E_F)   0.52 states/eV per atom
Space group   P4/mmm (123)
Total magnetization   0.0 μB/cell
Uncorrected energy   -1.30431 hartree per atom

Material: Ba4P
Method: DFT, meta-GGA SCAN
State: single point on PBEsol structure

abc: 7.8413 7.8413 7.8413
angles: 93.86 93.86 149.93
Sites, in units of the cell vectors:
Ba1 0.0509 0.2323 0.2833
Ba2 0.2323 0.9491 0.1814
Ba3 0.7677 0.0509 0.8186
Ba4 0.9491 0.7677 0.7167
P1 0.5000 0.5000 0.0000

Summary:
Calculated volume   233.3 Å³/cell
N(E_F)   0.94 states/eV per atom
Space group   I4/m (87)
Total magnetization   0.0 μB/cell
Uncorrected energy   -1.25827 hartree per atom

Material: V3HIr
Method: DFT, meta-GGA SCAN
State: single point on PBEsol structure

abc: 3.8004 3.8004 3.8004
angles: 90.00 90.00 90.00
Sites, in units of the cell vectors:
V1 0.0000 0.0000 0.5000
V2 0.0000 0.5000 0.0000
V3 0.5000 0.0000 0.0000
H1 0.0000 0.0000 0.0000
Ir1 0.5000 0.5000 0.5000

Summary:
Calculated volume   54.9 Å³/cell
N(E_F)   1.23 states/eV per atom
Space group   Pm-3m (221)
Total magnetization   0.0 μB/cell
Uncorrected energy   -0.94708 hartree per atom

> Which value of total magnetization does entry 4 give?

0.0 μB/cell

> Which of these has the lowest N(E_F)?

BeInSn2Au

> Which value of N(E_F) does entry 1 give?

0.59 states/eV per atom

> Look up the N(E_F) of the second one.

0.52 states/eV per atom